## A
VSi3F: optimized geometry, PBE+U.

Structure (CIF):
```
data_VSi3F
_chemical_formula_sum 'V1 Si3 F1'
_cell_length_a 4.272
_cell_length_b 4.272
_cell_length_c 4.272
_cell_angle_alpha 90.00
_cell_angle_beta 90.00
_cell_angle_gamma 90.00
_space_group_name_H-M_alt 'P m -3 m'
_space_group_IT_number 221
_space_group_name_Hall '-P 4 2 3'
loop_
_atom_site_label
_atom_site_type_symbol
_atom_site_fract_x
_atom_site_fract_y
_atom_site_fract_z
V1 V 0.000 0.000 0.000
Si1 Si 0.000 0.500 0.500
F1 F 0.500 0.500 0.500
```

Results
The total moment is 2.44 μB per formula unit. As for the density of states at the Fermi level: 0.573 states/eV/atom.

## B
VSi3F: optimized geometry, PBE+U.

Structure (CIF):
```
data_VSi3F
_chemical_formula_sum 'V1 Si3 F1'
_cell_length_a 4.615
_cell_length_b 4.615
_cell_length_c 4.615
_cell_angle_alpha 90.00
_cell_angle_beta 90.00
_cell_angle_gamma 90.00
_space_group_name_H-M_alt 'P m -3 m'
_space_group_IT_number 221
_space_group_name_Hall '-P 4 2 3'
loop_
_atom_site_label
_atom_site_type_symbol
_atom_site_fract_x
_atom_site_fract_y
_atom_site_fract_z
V1 V 0.000 0.000 0.000
Si1 Si 0.000 0.000 0.500
F1 F 0.500 0.500 0.500
```

Results
The total moment is 0.59 μB per formula unit. As for the density of states at the Fermi level: 0.872 states/eV/atom.

Which of them is least stable? Easy: B.

## A
VSiF2: optimized geometry, PBE+U.

Structure (CIF):
```
data_VSiF2
_chemical_formula_sum 'V3 Si3 F6'
_cell_length_a 3.0818
_cell_length_b 3.0818
_cell_length_c 28.3927
_cell_angle_alpha 90.00
_cell_angle_beta 90.00
_cell_angle_gamma 120.00
_space_group_name_H-M_alt 'R -3 m'
_space_group_IT_number 166
_space_group_name_Hall '-R 3 2"'
loop_
_atom_site_label
_atom_site_type_symbol
_atom_site_fract_x
_atom_site_fract_y
_atom_site_fract_z
V1 V 0.0000 0.0000 0.0000
Si1 Si 0.0000 0.0000 0.5000
F1 F 0.0000 0.0000 0.3720
```

Results
The total moment is 3.05 μB per formula unit. As for the density of states at the Fermi level: 0.571 states/eV/atom.

## B
VSiF2: optimized geometry, PBE+U.

Structure (CIF):
```
data_VSiF2
_chemical_formula_sum 'V4 Si4 F8'
_cell_length_a 5.851
_cell_length_b 5.851
_cell_length_c 5.851
_cell_angle_alpha 90.00
_cell_angle_beta 90.00
_cell_angle_gamma 90.00
_space_group_name_H-M_alt 'F m -3 m'
_space_group_IT_number 225
_space_group_name_Hall '-F 4 2 3'
loop_
_atom_site_label
_atom_site_type_symbol
_atom_site_fract_x
_atom_site_fract_y
_atom_site_fract_z
V1 V 0.000 0.000 0.000
Si1 Si 0.000 0.000 0.500
F1 F 0.250 0.250 0.250
```

Results
The total moment is 0.00 μB per formula unit. As for the density of states at the Fermi level: 0.398 states/eV/atom.

## C
VSiF2: optimized geometry, PBE+U.

Structure (CIF):
```
data_VSiF2
_chemical_formula_sum 'V4 Si4 F8'
_cell_length_a 3.757
_cell_length_b 3.757
_cell_length_c 15.278
_cell_angle_alpha 90.00
_cell_angle_beta 90.00
_cell_angle_gamma 90.00
_space_group_name_H-M_alt 'I -4 2 d'
_space_group_IT_number 122
_space_group_name_Hall 'I -4 2bw'
loop_
_atom_site_label
_atom_site_type_symbol
_atom_site_fract_x
_atom_site_fract_y
_atom_site_fract_z
V1 V 0.000 0.000 0.000
Si1 Si 0.000 0.000 0.500
F1 F 0.250 0.250 0.125
```

Results
The total moment is 3.02 μB per formula unit. As for the density of states at the Fermi level: 0.326 states/eV/atom.

Which of them is least stable? Easy: B.

## A
VSiF3: optimized geometry, PBE+U.

Structure (CIF):
```
data_VSiF3
_chemical_formula_sum 'V1 Si1 F3'
_cell_length_a 4.250
_cell_length_b 4.250
_cell_length_c 4.250
_cell_angle_alpha 90.00
_cell_angle_beta 90.00
_cell_angle_gamma 90.00
_space_group_name_H-M_alt 'P m -3 m'
_space_group_IT_number 221
_space_group_name_Hall '-P 4 2 3'
loop_
_atom_site_label
_atom_site_type_symbol
_atom_site_fract_x
_atom_site_fract_y
_atom_site_fract_z
V1 V 0.000 0.000 0.000
Si1 Si 0.500 0.500 0.500
F1 F 0.000 0.500 0.500
```

Results
The total moment is 4.01 μB per formula unit. As for the density of states at the Fermi level: 1.805 states/eV/atom.

## B
VSiF3: optimized geometry, PBE+U.

Structure (CIF):
```
data_VSiF3
_chemical_formula_sum 'V1 Si1 F3'
_cell_length_a 4.164
_cell_length_b 4.164
_cell_length_c 4.164
_cell_angle_alpha 90.00
_cell_angle_beta 90.00
_cell_angle_gamma 90.00
_space_group_name_H-M_alt 'P m -3 m'
_space_group_IT_number 221
_space_group_name_Hall '-P 4 2 3'
loop_
_atom_site_label
_atom_site_type_symbol
_atom_site_fract_x
_atom_site_fract_y
_atom_site_fract_z
V1 V 0.000 0.000 0.000
Si1 Si 0.500 0.500 0.500
F1 F 0.000 0.000 0.500
```

Results
The total moment is 2.62 μB per formula unit. As for the density of states at the Fermi level: 0.515 states/eV/atom.

Which of them is least stable? Easy: A.